# KInHg6

KInHg6 after structural relaxation (PBE, Alexandria via LeMat-Bulk).

Unit cell a=4.8910 b=4.8910 c=10.2479 alpha=90.00 beta=90.00 gamma=90.00
With the nearest neighbours (Å) after each atom.
Element x y z (fractional)
K  0.0000  0.0000  0.0000  16 Hg 3.76-4.10
In  0.0000  0.0000  0.5000  8 Hg 3.06
Hg  0.0000  0.5000  0.3207  2 Hg 3.05, 2 In 3.06
Hg  0.0000  0.5000  0.6793  2 Hg 3.05, 2 In 3.06
Hg  0.5000  0.0000  0.3207  2 Hg 3.05, 2 In 3.06
Hg  0.5000  0.0000  0.6793  2 Hg 3.05, 2 In 3.06
Hg  0.5000  0.5000  0.1429  5 Hg 2.93-3.05
Hg  0.5000  0.5000  0.8571  5 Hg 2.93-3.05

Summary:
Its space group is P4/mmm (123).



# KIn3Hg3

KIn3Hg3 after structural relaxation (PBE, Alexandria via LeMat-Bulk).

Unit cell a=8.1045 b=8.1045 c=8.1045 alpha=90.00 beta=90.00 gamma=90.00
With the nearest neighbours (Å) after each atom.
Element x y z (fractional)
K  0.0000  0.0000  0.0000  12 Hg 4.53, 12 In 4.53
K  0.5000  0.5000  0.5000  12 Hg 4.53, 12 In 4.53
In  0.0000  0.2500  0.5000  4 Hg 2.87
In  0.0000  0.7500  0.5000  4 Hg 2.87
In  0.2500  0.5000  0.0000  4 Hg 2.87
In  0.5000  0.0000  0.2500  4 Hg 2.87
In  0.5000  0.0000  0.7500  4 Hg 2.87
In  0.7500  0.5000  0.0000  4 Hg 2.87
Hg  0.0000  0.5000  0.2500  4 In 2.87
Hg  0.0000  0.5000  0.7500  4 In 2.87
Hg  0.2500  0.0000  0.5000  4 In 2.87
Hg  0.5000  0.2500  0.0000  4 In 2.87
Hg  0.5000  0.7500  0.0000  4 In 2.87
Hg  0.7500  0.0000  0.5000  4 In 2.87

Summary:
The value obtained for the energy above the most stable polymorph in this dataset is 3.34 kcal/mol of atoms. Its space group is Pm-3n (223).



# K2InHg8

K2InHg8 after structural relaxation (PBE, Alexandria via LeMat-Bulk).

Unit cell a=5.0482 b=5.0482 c=13.4695 alpha=90.00 beta=90.00 gamma=90.00
With the nearest neighbours (Å) after each atom.
Element x y z (fractional)
K  0.0000  0.0000  0.1853  12 Hg 3.54-3.59
K  0.0000  0.0000  0.8147  12 Hg 3.54-3.59
In  0.0000  0.0000  0.5000  8 Hg 3.08
Hg  0.0000  0.5000  0.0000  4 K 3.55, 8 Hg 3.57-3.81
Hg  0.0000  0.5000  0.3693  2 In 3.08, 2 Hg 3.29
Hg  0.0000  0.5000  0.6307  2 In 3.08, 2 Hg 3.29
Hg  0.5000  0.0000  0.0000  4 K 3.55, 8 Hg 3.57-3.81
Hg  0.5000  0.0000  0.3693  2 In 3.08, 2 Hg 3.29
Hg  0.5000  0.0000  0.6307  2 In 3.08, 2 Hg 3.29
Hg  0.5000  0.5000  0.2121  4 Hg 3.29, 4 K 3.59
Hg  0.5000  0.5000  0.7879  4 Hg 3.29, 4 K 3.59

Summary:
Its space group is P4/mmm (123).



# K2In2Hg3

K2In2Hg3 after structural relaxation (PBE, Alexandria via LeMat-Bulk).

Unit cell a=5.7357 b=5.7357 c=9.0812 alpha=115.88 beta=115.88 gamma=58.40
With the nearest neighbours (Å) after each atom.
Element x y z (fractional)
K  0.2443  0.2443  0.1649  7 Hg 3.45-3.77, 4 In 3.69-3.76
K  0.7557  0.7557  0.8351  7 Hg 3.45-3.77, 4 In 3.69-3.76
In  0.3224  0.3224  0.6146  5 Hg 3.03-3.36, 2 In 3.35
In  0.6776  0.6776  0.3854  5 Hg 3.03-3.36, 2 In 3.35
Hg  0.0244  0.0244  0.6860  1 Hg 3.16, 4 In 3.17-3.36, 2 K 3.45
Hg  0.5000  0.5000  0.0000  2 In 3.03
Hg  0.9756  0.9756  0.3140  1 Hg 3.16, 4 In 3.17-3.36, 2 K 3.45

Summary:
Its space group is C2/m (12).



Number 1: M_tot 0.000 μB/atom, ΔH_f (0 K) -0.1034 eV per atom. Number 2: M_tot 0.000 μB/atom, ΔH_f (0 K) 0.0442 eV per atom. Number 3: M_tot 0.000 μB/atom, ΔH_f (0 K) -0.1480 eV per atom. Number 4: M_tot 0.000 μB/atom, ΔH_f (0 K) -0.1502 eV per atom.